DFT (PBEsol) results for a relaxed structure of RbSiSe2N.

Results
uncorrected formation energy: 1.95 eV/atom
uncorrected energy: -13.23 eV for the cell shown
space-group type: P4/mmm (123)

Lattice parameters (Å, degrees): 4.827 5.708 5.708 90.00 90.00 90.00
Positions (direct):
N  0.500  0.000  0.000
Si  0.500  0.500  0.500
Se  0.000  0.500  0.000
Se  0.000  0.000  0.500
Rb  0.000  0.000  0.000